LaFePtBr2: optimized geometry, PBE.

Unit cell a=5.146 b=4.886 c=5.146 alpha=90.00 beta=90.00 gamma=90.00
Site moments in Bohr magnetons follow the coordinates.
Atoms (fractional coordinates):
La  0.500  0.500  0.500  -0.24
Fe  0.000  0.500  0.000  2.88
Pt  0.000  0.000  0.000  0.11
Br  0.000  0.000  0.500  0.02
Br  0.500  0.000  0.000  0.01

Output
Its space group is P4/mmm. For the formation energy without anion corrections, the calculation gives 17 meV/atom. The value obtained for the density of states at the Fermi level is 0.964 states/eV/atom.